(1)
A plane-wave DFT calculation with PBE was carried out for a relaxed NaRh2Au crystal.

Summary:
ΔH_f (0 K): 39.6 kJ/mol of atoms
Space-group type: Fm-3m

Unit cell a=4.5284 b=4.5284 c=4.5284 alpha=60.00 beta=60.00 gamma=60.00
Each line ends with the local moment (μB).
Fractional positions:
1 Rh 0.2500 0.2500 0.2500  0.91
2 Rh 0.7500 0.7500 0.7500  0.91
3 Na 0.0000 0.0000 0.0000  -0.01
4 Au 0.5000 0.5000 0.5000  0.17

(2)
A plane-wave DFT calculation with PBE was carried out for a relaxed NaRhAu2 crystal.

Summary:
ΔH_f (0 K): -6.1 kJ/mol of atoms
Space-group type: P4/mmm

Unit cell a=2.8407 b=4.9237 c=4.9237 alpha=90.00 beta=90.00 gamma=90.00
Fractional positions:
1 Rh 0.5000 0.0000 0.0000
2 Na 0.5000 0.5000 0.5000
3 Au 0.0000 0.0000 0.5000
4 Au 0.0000 0.5000 0.0000

(3)
A plane-wave DFT calculation with PBE was carried out for a relaxed NaRh2Au2 crystal.

Summary:
ΔH_f (0 K): 22.9 kJ/mol of atoms
Space-group type: I4/mmm

Unit cell a=3.7312 b=3.7312 c=7.3371 alpha=75.27 beta=75.27 gamma=90.00
Each line ends with the local moment (μB).
Fractional positions:
1 Au 0.4013 0.4013 0.1973  0.06
2 Au 0.5987 0.5987 0.8027  0.06
3 Rh 0.7500 0.2500 0.5000  0.88
4 Rh 0.2500 0.7500 0.5000  0.88
5 Na 0.0000 0.0000 0.0000  0.00

(4)
A plane-wave DFT calculation with PBE was carried out for a relaxed Na2RhAu crystal.

Summary:
ΔH_f (0 K): 22.7 kJ/mol of atoms
Space-group type: R-3m

Unit cell a=2.8800 b=2.8800 c=10.6748 alpha=82.25 beta=82.25 gamma=60.00
Each line ends with the local moment (μB).
Fractional positions:
1 Rh 0.0000 0.0000 0.0000  0.65
2 Na 0.9146 0.9146 0.2561  0.00
3 Na 0.0854 0.0854 0.7439  0.00
4 Au 0.5000 0.5000 0.5000  -0.01

(5)
A plane-wave DFT calculation with PBE was carried out for a relaxed NaRh3Au crystal.

Summary:
ΔH_f (0 K): 127.9 kJ/mol of atoms
Space-group type: Pm-3m

Unit cell a=4.9565 b=4.9565 c=4.9565 alpha=90.00 beta=90.00 gamma=90.00
Each line ends with the local moment (μB).
Fractional positions:
1 Na 0.5000 0.5000 0.5000  0.00
2 Au 0.0000 0.0000 0.0000  0.17
3 Rh 0.0000 0.0000 0.5000  1.11
4 Rh 0.5000 0.0000 0.0000  0.47
5 Rh 0.0000 0.5000 0.0000  0.68

(6)
A plane-wave DFT calculation with PBE was carried out for a relaxed NaRhAu2 crystal.

Summary:
ΔH_f (0 K): 5.7 kJ/mol of atoms
Space-group type: Fm-3m

Unit cell a=4.6249 b=4.6249 c=4.6249 alpha=60.00 beta=60.00 gamma=60.00
Fractional positions:
1 Au 0.2500 0.2500 0.2500
2 Au 0.7500 0.7500 0.7500
3 Na 0.0000 0.0000 0.0000
4 Rh 0.5000 0.5000 0.5000

(7)
A plane-wave DFT calculation with PBE was carried out for a relaxed NaRh2Au crystal.

Summary:
ΔH_f (0 K): 46.4 kJ/mol of atoms
Space-group type: I-42d

Unit cell a=3.7845 b=3.7845 c=10.2408 alpha=79.35 beta=79.35 gamma=90.00
Each line ends with the local moment (μB).
Fractional positions:
1 Na 0.5000 0.5000 0.0000  0.00
2 Na 0.2500 0.7500 0.5000  0.00
3 Rh 0.8750 0.8798 0.7500  0.76
4 Rh 0.3750 0.3702 0.7500  0.76
5 Rh 0.1202 0.6250 0.2500  0.76
6 Rh 0.6298 0.1250 0.2500  0.76
7 Au 0.7500 0.2500 0.5000  0.03
8 Au 0.0000 0.0000 0.0000  0.03

(8)
A plane-wave DFT calculation with PBE was carried out for a relaxed NaRhAu2 crystal.

Summary:
ΔH_f (0 K): 35.1 kJ/mol of atoms
Space-group type: I-42d

Unit cell a=3.9834 b=3.9834 c=10.0340 alpha=78.55 beta=78.55 gamma=90.00
Each line ends with the local moment (μB).
Fractional positions:
1 Rh 0.0000 0.0000 0.0000  0.30
2 Rh 0.7500 0.2500 0.5000  0.30
3 Au 0.8750 0.8808 0.7500  0.01
4 Au 0.6308 0.1250 0.2500  0.00
5 Au 0.3750 0.3692 0.7500  0.01
6 Au 0.1192 0.6250 0.2500  0.00
7 Na 0.2500 0.7500 0.5000  0.00
8 Na 0.5000 0.5000 0.0000  0.00

(9)
A plane-wave DFT calculation with PBE was carried out for a relaxed Na2RhAu crystal.

Summary:
ΔH_f (0 K): 25.6 kJ/mol of atoms
Space-group type: Fm-3m

Unit cell a=4.7264 b=4.7264 c=4.7264 alpha=60.00 beta=60.00 gamma=60.00
Fractional positions:
1 Rh 0.0000 0.0000 0.0000
2 Au 0.5000 0.5000 0.5000
3 Na 0.2500 0.2500 0.2500
4 Na 0.7500 0.7500 0.7500

(10)
A plane-wave DFT calculation with PBE was carried out for a relaxed NaRh2Au2 crystal.

Summary:
ΔH_f (0 K): 10.2 kJ/mol of atoms
Space-group type: P4/mbm

Unit cell a=8.0832 b=8.0832 c=2.7717 alpha=90.00 beta=90.00 gamma=90.00
Each line ends with the local moment (μB).
Fractional positions:
1 Na 0.0000 0.0000 0.0000  0.00
2 Na 0.5000 0.5000 0.0000  0.00
3 Rh 0.8862 0.6138 0.0000  0.20
4 Rh 0.1138 0.3862 0.0000  0.20
5 Rh 0.6138 0.1138 0.0000  0.23
6 Rh 0.3862 0.8862 0.0000  0.23
7 Au 0.8167 0.3167 0.5000  0.01
8 Au 0.6833 0.8167 0.5000  0.02
9 Au 0.1833 0.6833 0.5000  0.01
10 Au 0.3167 0.1833 0.5000  0.02

(11)
A plane-wave DFT calculation with PBE was carried out for a relaxed Na2RhAu crystal.

Summary:
ΔH_f (0 K): 32.2 kJ/mol of atoms
Space-group type: I-42d

Unit cell a=7.8734 b=7.8734 c=6.1919 alpha=50.52 beta=50.52 gamma=90.00
Each line ends with the local moment (μB).
Fractional positions:
1 Na 0.8750 0.8740 0.7500  0.00
2 Na 0.3750 0.3760 0.7500  0.00
3 Na 0.1260 0.6250 0.2500  0.00
4 Na 0.6240 0.1250 0.2500  0.00
5 Rh 0.5000 0.5000 0.0000  0.43
6 Rh 0.2500 0.7500 0.5000  0.43
7 Au 0.0000 0.0000 0.0000  0.02
8 Au 0.7500 0.2500 0.5000  0.02

(12)
A plane-wave DFT calculation with PBE was carried out for a relaxed Na2SbRhAu crystal.

Summary:
Formation energy from raw total energies: 0.54 eV per atom
Space-group type: P4/mmm

Unit cell a=5.1887 b=5.2083 c=5.1887 alpha=90.00 beta=90.00 gamma=90.00
Each line ends with the local moment (μB).
Fractional positions:
1 Na 0.5000 0.0000 0.0000  -0.01
2 Na 0.0000 0.0000 0.5000  0.00
3 Sb 0.0000 0.5000 0.0000  -0.01
4 Au 0.0000 0.0000 0.0000  -0.01
5 Rh 0.5000 0.5000 0.5000  0.87

Number 1: final energy -17.7 eV per cell, DOS(E_F) 2.863 states/eV per cell. Number 2: final energy -15.5 eV per cell, DOS(E_F) 2.143 states/eV per cell. Number 3: final energy -21.4 eV per cell, DOS(E_F) 5.127 states/eV per cell. Number 4: final energy -12.3 eV per cell, DOS(E_F) 3.992 states/eV per cell. Number 5: final energy -20.0 eV per cell, DOS(E_F) 11.756 states/eV per cell. Number 6: final energy -15.0 eV per cell, DOS(E_F) 0.577 states/eV per cell. Number 7: final energy -34.8 eV per cell, DOS(E_F) 8.748 states/eV per cell. Number 8: final energy -27.5 eV per cell, DOS(E_F) 6.926 states/eV per cell. Number 9: final energy -12.2 eV per cell, DOS(E_F) 1.947 states/eV per cell. Number 10: final energy -44.1 eV per cell, DOS(E_F) 10.326 states/eV per cell. Number 11: final energy -23.9 eV per cell, DOS(E_F) 8.506 states/eV per cell. Number 12: final energy -14.7 eV per cell, DOS(E_F) 3.258 states/eV per cell.